No. 1
# AsSOF2, optimized geometry, DFT PBE-GGA
data_AsSOF2
_cell_length_a 4.7161
_cell_length_b 4.7161
_cell_length_c 3.3208
_cell_angle_alpha 90.00
_cell_angle_beta 90.00
_cell_angle_gamma 90.00
_symmetry_space_group_name_H-M 'P 4/m m m'
_symmetry_Int_Tables_number 123
_symmetry_space_group_name_Hall '-P 4 2'
loop_
_atom_site_label
_atom_site_type_symbol
_atom_site_fract_x
_atom_site_fract_y
_atom_site_fract_z
As1 As 0.0000 0.0000 0.0000
S1 S 0.5000 0.5000 0.5000
O1 O 0.5000 0.5000 0.0000
F1 F 0.0000 0.5000 0.5000
# Uncorrected energy in eV/atom: -3.57
# Magnetization in Bohr magnetons per cell: 0.00
# D(E_F) in states/eV/cell: 3.03
# Distance to the lowest polymorph of the same formula in eV/atom: 0.4399


No. 2
# AsSOF2, optimized geometry, DFT PBE-GGA
data_AsSOF2
_cell_length_a 4.3255
_cell_length_b 4.3255
_cell_length_c 3.8735
_cell_angle_alpha 90.00
_cell_angle_beta 90.00
_cell_angle_gamma 90.00
_symmetry_space_group_name_H-M 'P 4/m m m'
_symmetry_Int_Tables_number 123
_symmetry_space_group_name_Hall '-P 4 2'
loop_
_atom_site_label
_atom_site_type_symbol
_atom_site_fract_x
_atom_site_fract_y
_atom_site_fract_z
As1 As 0.0000 0.0000 0.0000
S1 S 0.5000 0.5000 0.5000
O1 O 0.0000 0.0000 0.5000
F1 F 0.0000 0.5000 0.0000
# Uncorrected energy in eV/atom: -4.01
# Magnetization in Bohr magnetons per cell: 2.64
# D(E_F) in states/eV/cell: 2.42
# Distance to the lowest polymorph of the same formula in eV/atom: 0.0000


No. 3
# AsS2OF, optimized geometry, DFT PBE-GGA
data_AsS2OF
_cell_length_a 4.0125
_cell_length_b 4.0125
_cell_length_c 4.7466
_cell_angle_alpha 90.00
_cell_angle_beta 90.00
_cell_angle_gamma 90.00
_symmetry_space_group_name_H-M 'P 4/m m m'
_symmetry_Int_Tables_number 123
_symmetry_space_group_name_Hall '-P 4 2'
loop_
_atom_site_label
_atom_site_type_symbol
_atom_site_fract_x
_atom_site_fract_y
_atom_site_fract_z
As1 As 0.0000 0.0000 0.0000
S1 S 0.0000 0.5000 0.5000
O1 O 0.5000 0.5000 0.0000
F1 F 0.5000 0.5000 0.5000
# Uncorrected energy in eV/atom: -2.99
# Magnetization in Bohr magnetons per cell: 0.00
# D(E_F) in states/eV/cell: 3.41


No. 4
# SbAs2OF, optimized geometry, DFT PBE-GGA
data_SbAs2OF
_cell_length_a 4.1455
_cell_length_b 4.1455
_cell_length_c 5.8459
_cell_angle_alpha 90.00
_cell_angle_beta 90.00
_cell_angle_gamma 90.00
_symmetry_space_group_name_H-M 'P 4/m m m'
_symmetry_Int_Tables_number 123
_symmetry_space_group_name_Hall '-P 4 2'
loop_
_atom_site_label
_atom_site_type_symbol
_atom_site_fract_x
_atom_site_fract_y
_atom_site_fract_z
Sb1 Sb 0.0000 0.0000 0.0000
As1 As 0.0000 0.5000 0.5000
O1 O 0.5000 0.5000 0.0000
F1 F 0.0000 0.0000 0.5000
# Uncorrected energy in eV/atom: -3.47
# Magnetization in Bohr magnetons per cell: 0.00
# D(E_F) in states/eV/cell: 3.84


No. 5
# ScAsO2F, optimized geometry, DFT PBE-GGA
data_ScAsO2F
_cell_length_a 4.1364
_cell_length_b 4.1364
_cell_length_c 3.9565
_cell_angle_alpha 90.00
_cell_angle_beta 90.00
_cell_angle_gamma 90.00
_symmetry_space_group_name_H-M 'P 4/m m m'
_symmetry_Int_Tables_number 123
_symmetry_space_group_name_Hall '-P 4 2'
loop_
_atom_site_label
_atom_site_type_symbol
_atom_site_fract_x
_atom_site_fract_y
_atom_site_fract_z
Sc1 Sc 0.0000 0.0000 0.0000
As1 As 0.5000 0.5000 0.5000
O1 O 0.0000 0.5000 0.0000
F1 F 0.0000 0.0000 0.5000
# Uncorrected energy in eV/atom: -6.35
# Magnetization in Bohr magnetons per cell: 0.00
# D(E_F) in states/eV/cell: 2.34


No. 6
# ScAsO2F, optimized geometry, DFT PBE-GGA
data_ScAsO2F
_cell_length_a 4.0755
_cell_length_b 4.0755
_cell_length_c 4.1251
_cell_angle_alpha 90.00
_cell_angle_beta 90.00
_cell_angle_gamma 90.00
_symmetry_space_group_name_H-M 'P 4/m m m'
_symmetry_Int_Tables_number 123
_symmetry_space_group_name_Hall '-P 4 2'
loop_
_atom_site_label
_atom_site_type_symbol
_atom_site_fract_x
_atom_site_fract_y
_atom_site_fract_z
Sc1 Sc 0.0000 0.0000 0.0000
As1 As 0.5000 0.5000 0.5000
O1 O 0.0000 0.5000 0.5000
F1 F 0.5000 0.5000 0.0000
# Uncorrected energy in eV/atom: -5.79
# Magnetization in Bohr magnetons per cell: 0.00
# D(E_F) in states/eV/cell: 3.95


No. 7
# As2SeOF, optimized geometry, DFT PBE-GGA
data_As2SeOF
_cell_length_a 4.3868
_cell_length_b 4.3868
_cell_length_c 4.4176
_cell_angle_alpha 90.00
_cell_angle_beta 90.00
_cell_angle_gamma 90.00
_symmetry_space_group_name_H-M 'P 4/m m m'
_symmetry_Int_Tables_number 123
_symmetry_space_group_name_Hall '-P 4 2'
loop_
_atom_site_label
_atom_site_type_symbol
_atom_site_fract_x
_atom_site_fract_y
_atom_site_fract_z
As1 As 0.0000 0.5000 0.0000
Se1 Se 0.0000 0.0000 0.5000
O1 O 0.0000 0.0000 0.0000
F1 F 0.5000 0.5000 0.5000
# Uncorrected energy in eV/atom: -3.69
# Magnetization in Bohr magnetons per cell: 0.00
# D(E_F) in states/eV/cell: 2.56
# Distance to the lowest polymorph of the same formula in eV/atom: 0.0000


No. 8
# AsSeO2F, optimized geometry, DFT PBE-GGA
data_AsSeO2F
_cell_length_a 4.0275
_cell_length_b 4.0275
_cell_length_c 4.0939
_cell_angle_alpha 90.00
_cell_angle_beta 90.00
_cell_angle_gamma 90.00
_symmetry_space_group_name_H-M 'P 4/m m m'
_symmetry_Int_Tables_number 123
_symmetry_space_group_name_Hall '-P 4 2'
loop_
_atom_site_label
_atom_site_type_symbol
_atom_site_fract_x
_atom_site_fract_y
_atom_site_fract_z
As1 As 0.0000 0.0000 0.0000
Se1 Se 0.5000 0.5000 0.5000
O1 O 0.0000 0.5000 0.0000
F1 F 0.0000 0.0000 0.5000
# Uncorrected energy in eV/atom: -4.23
# Magnetization in Bohr magnetons per cell: 1.35
# D(E_F) in states/eV/cell: 3.66


No. 9
# AsSeO2F, optimized geometry, DFT PBE-GGA
data_AsSeO2F
_cell_length_a 3.9474
_cell_length_b 3.9474
_cell_length_c 4.4260
_cell_angle_alpha 90.00
_cell_angle_beta 90.00
_cell_angle_gamma 90.00
_symmetry_space_group_name_H-M 'P 4/m m m'
_symmetry_Int_Tables_number 123
_symmetry_space_group_name_Hall '-P 4 2'
loop_
_atom_site_label
_atom_site_type_symbol
_atom_site_fract_x
_atom_site_fract_y
_atom_site_fract_z
As1 As 0.0000 0.0000 0.0000
Se1 Se 0.5000 0.5000 0.5000
O1 O 0.0000 0.5000 0.5000
F1 F 0.5000 0.5000 0.0000
# Uncorrected energy in eV/atom: -3.96
# Magnetization in Bohr magnetons per cell: 0.46
# D(E_F) in states/eV/cell: 2.94


No. 10
# SiAsOF2, optimized geometry, DFT PBE-GGA
data_SiAsOF2
_cell_length_a 4.4111
_cell_length_b 4.4111
_cell_length_c 3.3102
_cell_angle_alpha 90.00
_cell_angle_beta 90.00
_cell_angle_gamma 90.00
_symmetry_space_group_name_H-M 'P 4/m m m'
_symmetry_Int_Tables_number 123
_symmetry_space_group_name_Hall '-P 4 2'
loop_
_atom_site_label
_atom_site_type_symbol
_atom_site_fract_x
_atom_site_fract_y
_atom_site_fract_z
Si1 Si 0.0000 0.0000 0.0000
As1 As 0.5000 0.5000 0.5000
O1 O 0.0000 0.0000 0.5000
F1 F 0.0000 0.5000 0.0000
# Uncorrected energy in eV/atom: -4.74
# Magnetization in Bohr magnetons per cell: 1.05
# D(E_F) in states/eV/cell: 3.17
# Distance to the lowest polymorph of the same formula in eV/atom: 0.0000


No. 11
# SiAsOF2, optimized geometry, DFT PBE-GGA
data_SiAsOF2
_cell_length_a 4.3223
_cell_length_b 4.3223
_cell_length_c 3.9980
_cell_angle_alpha 90.00
_cell_angle_beta 90.00
_cell_angle_gamma 90.00
_symmetry_space_group_name_H-M 'P 4/m m m'
_symmetry_Int_Tables_number 123
_symmetry_space_group_name_Hall '-P 4 2'
loop_
_atom_site_label
_atom_site_type_symbol
_atom_site_fract_x
_atom_site_fract_y
_atom_site_fract_z
Si1 Si 0.0000 0.0000 0.0000
As1 As 0.5000 0.5000 0.5000
O1 O 0.5000 0.5000 0.0000
F1 F 0.0000 0.5000 0.5000
# Uncorrected energy in eV/atom: -4.37
# Magnetization in Bohr magnetons per cell: 0.58
# D(E_F) in states/eV/cell: 2.27
# Distance to the lowest polymorph of the same formula in eV/atom: 0.3713


No. 12
# SnAsOF2, optimized geometry, DFT PBE-GGA
data_SnAsOF2
_cell_length_a 4.4253
_cell_length_b 4.4253
_cell_length_c 4.1520
_cell_angle_alpha 90.00
_cell_angle_beta 90.00
_cell_angle_gamma 90.00
_symmetry_space_group_name_H-M 'P 4/m m m'
_symmetry_Int_Tables_number 123
_symmetry_space_group_name_Hall '-P 4 2'
loop_
_atom_site_label
_atom_site_type_symbol
_atom_site_fract_x
_atom_site_fract_y
_atom_site_fract_z
Sn1 Sn 0.0000 0.0000 0.0000
As1 As 0.5000 0.5000 0.5000
O1 O 0.0000 0.0000 0.5000
F1 F 0.0000 0.5000 0.0000
# Uncorrected energy in eV/atom: -4.38
# Magnetization in Bohr magnetons per cell: 2.00
# D(E_F) in states/eV/cell: 4.25
# Distance to the lowest polymorph of the same formula in eV/atom: 0.1595